No. 1
An optimized crystal structure of LaZnCoPt2, computed with GGA-PBEsol.

Summary:
Symmetry   P4/mmm, No. 123

Unit cell a=5.143 b=5.143 c=4.466 alpha=90.00 beta=90.00 gamma=90.00
Element x y z (fractional)
La  0.000  0.000  0.000
Zn  0.500  0.500  0.500
Co  0.000  0.000  0.500
Pt  0.000  0.500  0.000
Pt  0.500  0.000  0.000

=====

No. 2
An optimized crystal structure of ScPW4, computed with GGA-PBEsol.

Summary:
Symmetry   F-43m, No. 216

Unit cell a=5.266 b=5.266 c=5.266 alpha=60.00 beta=60.00 gamma=60.00
Element x y z (fractional)
Sc  0.000  0.000  0.000
P  0.250  0.250  0.250
W  0.125  0.625  0.625
W  0.625  0.125  0.625
W  0.625  0.625  0.125
W  0.625  0.625  0.625

=====

No. 3
An optimized crystal structure of KZr2Mo, computed with GGA-PBEsol.

Summary:
Symmetry   Pmmm, No. 47

Unit cell a=3.550 b=4.831 c=4.894 alpha=90.00 beta=90.00 gamma=90.00
Element x y z (fractional)
K  0.000  0.000  0.000
Zr  0.500  0.000  0.500
Zr  0.500  0.500  0.000
Mo  0.000  0.500  0.500

=====

no.,raw total energy (eV/cell),theoretical density (g/cm3),calculated volume (Å³/atom)
1,-21.964,9.19,23.6
2,-64.457,13.05,17.2
3,-26.556,6.28,21.0